ScIn2Te2 | the Alexandria database | PBE | optimized geometry; magnetic moment = 0.118 μB/atom; excess energy over the best structure of this formula in the dataset = 239.8 meV per atom; SG = P4/mbm, No. 127; raw formation energy = -0.135 eV per atom; DOS(E_F) = 7.96 states/eV/cell
1.0
8.045 0.000 0.000
0.000 8.045 0.000
0.000 0.000 4.352
Sc In Te
2 4 4
Cartesian
0.000 0.000 0.000
4.022 4.022 0.000
1.031 2.991 0.000
2.991 7.013 0.000
5.053 1.031 0.000
7.013 5.053 0.000
1.509 5.531 2.176
2.513 1.509 2.176
5.531 6.536 2.176
6.536 2.513 2.176


ScIn2Te | the Alexandria database | PBE | optimized geometry; magnetic moment = 0.000 μB/atom; SG = P4mm, No. 99; raw formation energy = -0.423 eV per atom; DOS(E_F) = 2.55 states/eV/cell
1.0
3.968 0.000 0.000
0.000 3.968 0.000
0.000 0.000 6.720
Sc In Te
1 2 1
Cartesian
0.000 0.000 0.000
0.000 0.000 3.303
1.984 1.984 4.684
1.984 1.984 0.968